A plane-wave DFT calculation with GGA-PBE was carried out for ReH2IO after structural relaxation.

Cell and atoms, written as POSCAR:
```
ReH2IO
1.0
4.120 0.000 0.000
0.000 4.120 0.000
0.000 0.000 3.784
Re H I O
1 2 1 1
direct
0.000 0.000 0.000
0.000 0.500 0.500
0.500 0.000 0.500
0.500 0.500 0.000
0.000 0.000 0.500
```

Crystal system: tetragonal

A plane-wave DFT calculation with GGA-PBE was carried out for ReH2IO after structural relaxation.

Cell and atoms, written as POSCAR:
```
ReH2IO
1.0
4.145 0.000 0.000
0.000 4.145 0.000
0.000 0.000 3.760
Re H I O
1 2 1 1
direct
0.000 0.000 0.000
0.000 0.500 0.000
0.500 0.000 0.000
0.500 0.500 0.500
0.000 0.000 0.500
```

Crystal system: tetragonal

A plane-wave DFT calculation with GGA-PBE was carried out for HRhIO2 after structural relaxation.

Cell and atoms, written as POSCAR:
```
HRhIO2
1.0
3.753 0.000 0.000
0.000 3.753 0.000
0.000 0.000 6.014
H Rh I O
1 1 1 2
direct
0.000 0.000 0.000
0.500 0.500 0.500
0.500 0.500 0.000
0.000 0.500 0.500
0.500 0.000 0.500
```

Crystal system: tetragonal

A plane-wave DFT calculation with GGA-PBE was carried out for HRhIO2 after structural relaxation.

Cell and atoms, written as POSCAR:
```
HRhIO2
1.0
4.067 0.000 0.000
0.000 4.067 0.000
0.000 0.000 3.493
H Rh I O
1 1 1 2
direct
0.000 0.000 0.000
0.500 0.500 0.500
0.000 0.000 0.500
0.000 0.500 0.000
0.500 0.000 0.000
```

Crystal system: tetragonal

It is found that the energy above the lowest structure with this stoichiometry values, taken in the order of the records, are 481, 0, 0, 802 meV/atom.